## TbDy2Al (GGA-PBE)

Data for TbDy2Al after structural relaxation.

Density of states at the Fermi level (states/eV/cell): 14.74
Total magnetization (μB/cell): 2.6
Formation enthalpy at 0 K (eV/atom): 0.11
Total energy (eV per cell): -51.40

Structure (CIF):
```
data_TbDy2Al
_chemical_formula_sum 'Tb3 Dy6 Al3'
_cell_length_a 3.4575
_cell_length_b 3.4575
_cell_length_c 34.4159
_cell_angle_alpha 90.00
_cell_angle_beta 90.00
_cell_angle_gamma 120.00
_space_group_name_H-M_alt 'R -3 m'
_space_group_IT_number 166
_space_group_name_Hall '-R 3 2"'
loop_
_atom_site_label
_atom_site_type_symbol
_atom_site_fract_x
_atom_site_fract_y
_atom_site_fract_z
Tb1 Tb 0.0000 0.0000 0.0000
Dy1 Dy 0.0000 0.0000 0.1004
Al1 Al 0.0000 0.0000 0.5000
```

---

## KGa2Pt2 (GGA-PBE)

Data for KGa2Pt2 after structural relaxation.

Density of states at the Fermi level (states/eV/cell): 15.99
Total magnetization (μB/cell): 0.0
Formation enthalpy at 0 K (eV/atom): -0.54
Total energy (eV per cell): -175.56

Structure (CIF):
```
data_KGa2Pt2
_chemical_formula_sum 'K8 Ga16 Pt16'
_cell_length_a 6.3265
_cell_length_b 11.1617
_cell_length_c 12.8681
_cell_angle_alpha 90.00
_cell_angle_beta 90.00
_cell_angle_gamma 90.00
_space_group_name_H-M_alt 'F d d d'
_space_group_IT_number 70
loop_
_space_group_symop_operation_xyz
'x,y,z'
'-x,-y,-z'
'-x+1/4,-y+1/4,z'
'x+1/4,y+1/4,-z'
'x,-y+1/4,-z+1/4'
'-x,y+1/4,z+1/4'
'-x+1/4,y,-z+1/4'
'x+1/4,-y,z+1/4'
'x,y+1/2,z+1/2'
'-x,-y+1/2,-z+1/2'
'-x+1/4,-y+3/4,z+1/2'
'x+1/4,y+3/4,-z+1/2'
'x,-y+3/4,-z+3/4'
'-x,y+3/4,z+3/4'
'-x+1/4,y+1/2,-z+3/4'
'x+1/4,-y+1/2,z+3/4'
'x+1/2,y,z+1/2'
'-x+1/2,-y,-z+1/2'
'-x+3/4,-y+1/4,z+1/2'
'x+3/4,y+1/4,-z+1/2'
'x+1/2,-y+1/4,-z+3/4'
'-x+1/2,y+1/4,z+3/4'
'-x+3/4,y,-z+3/4'
'x+3/4,-y,z+3/4'
'x+1/2,y+1/2,z'
'-x+1/2,-y+1/2,-z'
'-x+3/4,-y+3/4,z'
'x+3/4,y+3/4,-z'
'x+1/2,-y+3/4,-z+1/4'
'-x+1/2,y+3/4,z+1/4'
'-x+3/4,y+1/2,-z+1/4'
'x+3/4,-y+1/2,z+1/4'
loop_
_atom_site_label
_atom_site_type_symbol
_atom_site_fract_x
_atom_site_fract_y
_atom_site_fract_z
K1 K 0.1250 0.1250 0.1250
Ga1 Ga 0.1250 0.3104 0.6250
Pt1 Pt 0.1250 0.1250 0.5113
```

---

## Dy3TmPd6 (GGA-PBE)

Data for Dy3TmPd6 after structural relaxation.

Density of states at the Fermi level (states/eV/cell): 9.54
Total magnetization (μB/cell): 0.0
Formation enthalpy at 0 K (eV/atom): -0.86
Total energy (eV per cell): -116.03

Structure (CIF):
```
data_Dy3TmPd6
_chemical_formula_sum 'Dy6 Tm2 Pd12'
_cell_length_a 8.2655
_cell_length_b 4.9148
_cell_length_c 10.3442
_cell_angle_alpha 90.00
_cell_angle_beta 107.41
_cell_angle_gamma 90.00
_space_group_name_H-M_alt 'P 1 21/m 1'
_space_group_IT_number 11
_space_group_name_Hall '-P 2yb'
loop_
_atom_site_label
_atom_site_type_symbol
_atom_site_fract_x
_atom_site_fract_y
_atom_site_fract_z
Dy1 Dy 0.0192 0.2500 0.3858
Dy2 Dy 0.1406 0.7500 0.1951
Dy3 Dy 0.2936 0.2500 0.9902
Tm1 Tm 0.4364 0.2500 0.6073
Pd1 Pd 0.0563 0.7500 0.9077
Pd2 Pd 0.1462 0.2500 0.6958
Pd3 Pd 0.2603 0.7500 0.4892
Pd4 Pd 0.3504 0.2500 0.3049
Pd5 Pd 0.3543 0.7500 0.8014
Pd6 Pd 0.4277 0.7500 0.1116
```

---

## Ba2CuPt (GGA-PBE)

Data for Ba2CuPt after structural relaxation.

Density of states at the Fermi level (states/eV/cell): 2.10
Total magnetization (μB/cell): 0.0
Formation enthalpy at 0 K (eV/atom): -0.28
Total energy (eV per cell): -15.10

Structure (CIF):
```
data_Ba2CuPt
_chemical_formula_sum 'Ba2 Cu1 Pt1'
_cell_length_a 4.6190
_cell_length_b 4.6303
_cell_length_c 6.4861
_cell_angle_alpha 90.00
_cell_angle_beta 90.11
_cell_angle_gamma 90.00
_space_group_name_H-M_alt 'P 1 2/m 1'
_space_group_IT_number 10
_space_group_name_Hall '-P 2y'
loop_
_atom_site_label
_atom_site_type_symbol
_atom_site_fract_x
_atom_site_fract_y
_atom_site_fract_z
Ba1 Ba 0.0000 0.0000 0.0000
Ba2 Ba 0.5000 0.5000 0.5000
Cu1 Cu 0.0000 0.0000 0.5000
Pt1 Pt 0.5000 0.5000 0.0000
```

---

## NaLa2Hf (GGA-PBE)

Data for NaLa2Hf after structural relaxation.

Density of states at the Fermi level (states/eV/cell): 36.99
Total magnetization (μB/cell): 3.7
Formation enthalpy at 0 K (eV/atom): 0.68
Total energy (eV per cell): -73.56

Structure (CIF):
```
data_NaLa2Hf
_chemical_formula_sum 'Na4 La8 Hf4'
_cell_length_a 8.6421
_cell_length_b 8.6421
_cell_length_c 6.7015
_cell_angle_alpha 90.00
_cell_angle_beta 90.00
_cell_angle_gamma 90.00
_space_group_name_H-M_alt 'I -4 2 d'
_space_group_IT_number 122
_space_group_name_Hall 'I -4 2bw'
loop_
_atom_site_label
_atom_site_type_symbol
_atom_site_fract_x
_atom_site_fract_y
_atom_site_fract_z
Na1 Na 0.0000 0.0000 0.0000
La1 La 0.2466 0.2500 0.6250
Hf1 Hf 0.0000 0.0000 0.5000
```

---

## Be2SiAu (GGA-PBE)

Data for Be2SiAu after structural relaxation.

Density of states at the Fermi level (states/eV/cell): 2.88
Total magnetization (μB/cell): 0.0
Total energy (eV per cell): -30.17
Formation energy from raw total energies (eV/atom): 0.267

Structure (CIF):
```
data_Be2SiAu
_chemical_formula_sum 'Be4 Si2 Au2'
_cell_length_a 3.6428
_cell_length_b 3.6428
_cell_length_c 7.6499
_cell_angle_alpha 90.00
_cell_angle_beta 90.00
_cell_angle_gamma 90.00
_space_group_name_H-M_alt 'I -4 m 2'
_space_group_IT_number 119
_space_group_name_Hall 'I -4 -2'
loop_
_atom_site_label
_atom_site_type_symbol
_atom_site_fract_x
_atom_site_fract_y
_atom_site_fract_z
Be1 Be 0.0000 0.0000 0.0000
Be2 Be 0.0000 0.5000 0.2500
Si1 Si 0.0000 0.5000 0.7500
Au1 Au 0.0000 0.0000 0.5000
```

---

## KHg4Pb2 (GGA-PBE)

Data for KHg4Pb2 after structural relaxation.

Density of states at the Fermi level (states/eV/cell): 11.64
Total magnetization (μB/cell): 0.0
Formation enthalpy at 0 K (eV/atom): -0.10
Total energy (eV per cell): -41.74

Structure (CIF):
```
data_KHg4Pb2
_chemical_formula_sum 'K4 Hg16 Pb8'
_cell_length_a 20.0194
_cell_length_b 6.5886
_cell_length_c 6.4130
_cell_angle_alpha 90.00
_cell_angle_beta 90.07
_cell_angle_gamma 90.00
_space_group_name_H-M_alt 'C 1 2/c 1'
_space_group_IT_number 15
_space_group_name_Hall '-C 2yc'
loop_
_atom_site_label
_atom_site_type_symbol
_atom_site_fract_x
_atom_site_fract_y
_atom_site_fract_z
K1 K 0.0000 0.1882 0.2500
Hg1 Hg 0.0780 0.3506 0.7499
Hg2 Hg 0.1450 0.0017 0.4998
Pb1 Pb 0.2104 0.3974 0.2465
```

---

## Ba2PaGe2N6 (GGA-PBE)

Data for Ba2PaGe2N6 after structural relaxation.

Density of states at the Fermi level (states/eV/cell): 16.88
Total magnetization (μB/cell): 0.0
Total energy (eV per cell): -236.34
Formation energy from raw total energies (eV/atom): -0.568

Structure (CIF):
```
data_Ba2PaGe2N6
_chemical_formula_sum 'Ba6 Pa3 Ge6 N18'
_cell_length_a 6.1077
_cell_length_b 6.1077
_cell_length_c 18.1915
_cell_angle_alpha 90.00
_cell_angle_beta 90.00
_cell_angle_gamma 120.00
_space_group_name_H-M_alt 'R -3 m'
_space_group_IT_number 166
_space_group_name_Hall '-R 3 2"'
loop_
_atom_site_label
_atom_site_type_symbol
_atom_site_fract_x
_atom_site_fract_y
_atom_site_fract_z
Ba1 Ba 0.0000 0.0000 0.2116
Pa1 Pa 0.0000 0.0000 0.0000
Ge1 Ge 0.0000 0.0000 0.4138
N1 N 0.0049 0.5025 0.7466
```

---

## MgCuMoPb2 (GGA-PBE)

Data for MgCuMoPb2 after structural relaxation.

Density of states at the Fermi level (states/eV/cell): 3.07
Total magnetization (μB/cell): 3.3
Formation enthalpy at 0 K (eV/atom): 1.42
Total energy (eV per cell): -16.84

Structure (CIF):
```
data_MgCuMoPb2
_chemical_formula_sum 'Mg1 Cu1 Mo1 Pb2'
_cell_length_a 5.3396
_cell_length_b 5.3396
_cell_length_c 5.0818
_cell_angle_alpha 90.00
_cell_angle_beta 90.00
_cell_angle_gamma 90.00
_space_group_name_H-M_alt 'P 4/m m m'
_space_group_IT_number 123
_space_group_name_Hall '-P 4 2'
loop_
_atom_site_label
_atom_site_type_symbol
_atom_site_fract_x
_atom_site_fract_y
_atom_site_fract_z
Mg1 Mg 0.0000 0.0000 0.0000
Cu1 Cu 0.5000 0.5000 0.5000
Mo1 Mo 0.0000 0.0000 0.5000
Pb1 Pb 0.0000 0.5000 0.0000
```

---

## MgRe2W (GGA-PBE)

Data for MgRe2W after structural relaxation.

Density of states at the Fermi level (states/eV/cell): 9.37
Total magnetization (μB/cell): 0.0
Formation enthalpy at 0 K (eV/atom): 0.98
Total energy (eV per cell): -142.14

Structure (CIF):
```
data_MgRe2W
_chemical_formula_sum 'Mg4 Re8 W4'
_cell_length_a 7.3610
_cell_length_b 7.3610
_cell_length_c 5.3667
_cell_angle_alpha 90.00
_cell_angle_beta 90.00
_cell_angle_gamma 90.00
_space_group_name_H-M_alt 'I -4 2 d'
_space_group_IT_number 122
_space_group_name_Hall 'I -4 2bw'
loop_
_atom_site_label
_atom_site_type_symbol
_atom_site_fract_x
_atom_site_fract_y
_atom_site_fract_z
Mg1 Mg 0.0000 0.0000 0.0000
Re1 Re 0.2084 0.7500 0.6250
W1 W 0.0000 0.0000 0.5000
```

---

## ScIr2Os (GGA-PBE)

Data for ScIr2Os after structural relaxation.

Density of states at the Fermi level (states/eV/cell): 8.98
Total magnetization (μB/cell): 0.0
Formation enthalpy at 0 K (eV/atom): -0.32
Total energy (eV per cell): -73.12

Structure (CIF):
```
data_ScIr2Os
_chemical_formula_sum 'Sc2 Ir4 Os2'
_cell_length_a 3.9531
_cell_length_b 3.9531
_cell_length_c 7.8823
_cell_angle_alpha 90.00
_cell_angle_beta 90.00
_cell_angle_gamma 90.00
_space_group_name_H-M_alt 'I 4/m m m'
_space_group_IT_number 139
_space_group_name_Hall '-I 4 2'
loop_
_atom_site_label
_atom_site_type_symbol
_atom_site_fract_x
_atom_site_fract_y
_atom_site_fract_z
Sc1 Sc 0.0000 0.0000 0.0000
Ir1 Ir 0.0000 0.5000 0.2500
Os1 Os 0.0000 0.0000 0.5000
```

---

## MgCd4AgAu2 (GGA-PBE)

Data for MgCd4AgAu2 after structural relaxation.

Density of states at the Fermi level (states/eV/cell): 2.21
Total magnetization (μB/cell): 0.0
Formation enthalpy at 0 K (eV/atom): -0.08
Total energy (eV per cell): -15.30

Structure (CIF):
```
data_MgCd4AgAu2
_chemical_formula_sum 'Mg1 Cd4 Ag1 Au2'
_cell_length_a 4.1197
_cell_length_b 4.1197
_cell_length_c 10.7132
_cell_angle_alpha 90.00
_cell_angle_beta 90.00
_cell_angle_gamma 90.00
_space_group_name_H-M_alt 'P 4/m m m'
_space_group_IT_number 123
_space_group_name_Hall '-P 4 2'
loop_
_atom_site_label
_atom_site_type_symbol
_atom_site_fract_x
_atom_site_fract_y
_atom_site_fract_z
Mg1 Mg 0.0000 0.0000 0.0000
Cd1 Cd 0.0000 0.5000 0.3118
Ag1 Ag 0.0000 0.0000 0.5000
Au1 Au 0.5000 0.5000 0.1232
```

---

## Dy4Tm2In (GGA-PBE)

Data for Dy4Tm2In after structural relaxation.

Density of states at the Fermi level (states/eV/cell): 78.03
Total magnetization (μB/cell): 0.0
Formation enthalpy at 0 K (eV/atom): -0.04
Total energy (eV per cell): -242.78

Structure (CIF):
```
data_Dy4Tm2In
_chemical_formula_sum 'Dy32 Tm16 In8'
_cell_length_a 10.0937
_cell_length_b 21.7108
_cell_length_c 7.8498
_cell_angle_alpha 90.00
_cell_angle_beta 90.00
_cell_angle_gamma 90.00
_space_group_name_H-M_alt 'F d d 2'
_space_group_IT_number 43
_space_group_name_Hall 'F 2 -2d'
loop_
_atom_site_label
_atom_site_type_symbol
_atom_site_fract_x
_atom_site_fract_y
_atom_site_fract_z
Dy1 Dy 0.0136 0.4191 0.0000
Dy2 Dy 0.0380 0.1166 0.0814
Tm1 Tm 0.0357 0.2378 0.4206
In1 In 0.0000 0.0000 0.8450
```